This record from Alexandria via LeMat-Bulk describes crystalline MnBe2F8 at its relaxed geometry. The functional is GGA+U.

Its total magnetization is 5.79 μB per cell. Its calculated volume is 12.6 A^3/atom. Its energy is -5.2825 eV/atom.

The structure belongs to space group C2/m (No. 12); the cell edges are 10.599, 5.594 and 4.687 Å and the angles 90.00°, 94.27° and 90.00°. The distinct sites, in fractional coordinates, are Mn at (0.000, 0.000, 0.000), Be at (0.173, 0.000, 0.623), F at (0.092, 0.209, 0.786), F at (0.130, 0.000, 0.289) and F at (0.191, 0.500, 0.330).